! KAsWBr2 (PBE, relaxed); values from VASP
! Fermi-level density of states (states/eV per atom): 2.443
! Raw total energy (eV per cell): -14.2
! Energy above the lowest structure with this stoichiometry (meV per atom): 1760
! Formation energy from raw total energies (eV per atom): 1.58
&SYSTEM
  ibrav = 0, nat = 5, ntyp = 4
/
ATOMIC_SPECIES
K 39.10 K.upf
As 74.92 As.upf
W 183.84 W.upf
Br 79.90 Br.upf
CELL_PARAMETERS angstrom
6.098 0.000 0.000
0.000 6.098 0.000
0.000 0.000 6.070
ATOMIC_POSITIONS angstrom
K 0.000 0.000 0.000
As 0.000 0.000 3.035
W 3.049 3.049 3.035
Br 0.000 3.049 0.000
Br 3.049 0.000 0.000


! Tb2MgNi2 (PBE, relaxed); values from VASP
! Calculated formation energy (eV per formula unit): -1.9
! Fermi-level density of states (states/eV per atom): 0.722
! Raw total energy (eV per cell): -24.3
&SYSTEM
  ibrav = 0, nat = 5, ntyp = 3
/
ATOMIC_SPECIES
Tb 158.93 Tb.upf
Mg 24.30 Mg.upf
Ni 58.69 Ni.upf
CELL_PARAMETERS angstrom
1.998 -7.210 0.000
1.998 7.210 0.000
0.000 0.000 3.661
ATOMIC_POSITIONS angstrom
Tb 1.998 5.163 0.000
Tb 1.998 -5.163 0.000
Mg 1.998 0.000 1.831
Ni 1.998 2.872 1.831
Ni 1.998 -2.872 1.831


! Ca6Ga5Hg (PBE, relaxed); values from VASP
! Calculated formation energy (eV per formula unit): -5.5
! Fermi-level density of states (states/eV per atom): 0.595
! Raw total energy (eV per cell): -32.9
&SYSTEM
  ibrav = 0, nat = 12, ntyp = 3
/
ATOMIC_SPECIES
Ca 40.08 Ca.upf
Ga 69.72 Ga.upf
Hg 200.59 Hg.upf
CELL_PARAMETERS angstrom
2.605 -7.833 0.000
2.605 7.833 0.000
0.000 0.000 7.428
ATOMIC_POSITIONS angstrom
Ca 0.000 0.000 1.823
Ca 0.000 0.000 5.605
Ca 2.605 2.632 1.828
Ca 2.605 2.632 5.600
Ca 2.605 -2.632 1.828
Ca 2.605 -2.632 5.600
Ga 2.605 5.224 0.000
Ga 2.605 5.193 3.714
Ga 2.605 0.000 0.000
Ga 2.605 -5.193 3.714
Ga 2.605 -5.224 0.000
Hg 2.605 0.000 3.714